A plane-wave DFT calculation with PBE was carried out for NaTlSnS2 after structural relaxation.

Cell lengths 4.4583, 7.5766, 11.7817 Å; angles 124.04, 90.00, 107.11 degrees
With the nearest neighbours (Å) after each atom.
Atoms (fractional coordinates):
Na 0.7691 0.5383 0.1307  4 S 2.74-2.83
Na 0.2309 0.4617 0.8693  4 S 2.74-2.83
Tl 0.3983 0.7965 0.5510  3 S 3.00-3.01
Tl 0.6017 0.2035 0.4490  3 S 3.00-3.01
Sn 0.1010 0.2020 0.2060  1 S 2.51
Sn 0.8990 0.7980 0.7940  1 S 2.51
S 0.2458 0.4915 0.6459  1 Na 2.76, 2 Sn 2.90, 3 Tl 3.00-3.01
S 0.7542 0.5085 0.3541  1 Na 2.76, 2 Sn 2.90, 3 Tl 3.00-3.01
S 0.1337 0.2674 0.0188  1 Sn 2.51, 2 Na 2.74
S 0.8663 0.7326 0.9812  1 Sn 2.51, 2 Na 2.74

Output
- Total magnetization: 0.0 μB per cell
- Formation energy from raw total energies: -0.549 eV/atom
- Density: 4.4 g/cm³